Entry 1:
The following is a DFT calculation (PBE-GGA) of a geometry-optimized Sm2YAgTe5 structure.

Calculated values
* DOS at the Fermi energy: 0.13 states/eV/f.u.
* ΔE_f (raw): -111.9 kJ per mole of atoms
* space group: Cmc2_1

abc: 9.6578 9.6578 13.2915
angles: 90.00 90.00 153.87
Closest atoms and distances in Å follow each position.
Fractional positions:
Sm (0.1111, 0.8889, 0.5000)  8 Te 3.21-3.36
Sm (0.1258, 0.8742, 0.1176)  8 Te 3.21-3.43
Sm (0.8742, 0.1258, 0.6176)  8 Te 3.21-3.43
Sm (0.8889, 0.1111, 0.0000)  8 Te 3.21-3.36
Y (0.1920, 0.8080, 0.8225)  6 Te 2.97-3.14, 2 Ag 3.26
Y (0.8080, 0.1920, 0.3225)  6 Te 2.97-3.14, 2 Ag 3.26
Ag (0.4321, 0.5679, 0.2745)  4 Te 2.73-2.86
Ag (0.5679, 0.4321, 0.7745)  4 Te 2.73-2.86
Te (0.0418, 0.9582, 0.8924)  2 Ag 2.73, 1 Y 2.97
Te (0.2860, 0.7140, 0.4829)  2 Y 3.08, 3 Sm 3.28-3.30
Te (0.3064, 0.6936, 0.1531)  1 Ag 2.86, 2 Y 3.14
Te (0.3573, 0.6427, 0.8127)  1 Y 3.11, 4 Sm 3.36-3.40
Te (0.4983, 0.5017, 0.5931)  1 Ag 2.74
Te (0.5017, 0.4983, 0.0931)  1 Ag 2.74
Te (0.6427, 0.3573, 0.3127)  1 Y 3.11, 4 Sm 3.36-3.40
Te (0.6936, 0.3064, 0.6531)  1 Ag 2.86, 2 Y 3.14
Te (0.7140, 0.2860, 0.9829)  2 Y 3.08, 3 Sm 3.28-3.30
Te (0.9582, 0.0418, 0.3924)  2 Ag 2.73, 1 Y 2.97



Entry 2:
The following is a DFT calculation (PBE-GGA) of a geometry-optimized Rb2Pm2GeS6 structure.

Calculated values
* ΔE_f (raw): -126.0 kJ per mole of atoms
* space group: C2/m

abc: 6.8969 6.8969 8.2213
angles: 98.45 98.45 119.36
Closest atoms and distances in Å follow each position.
Fractional positions:
Rb (0.1719, 0.8281, 0.0000)  6 S 3.36-3.49
Rb (0.8281, 0.1719, 0.0000)  6 S 3.36-3.49
Pm (0.3319, 0.6681, 0.5000)  6 S 2.81-2.85
Pm (0.6681, 0.3319, 0.5000)  6 S 2.81-2.85
Ge (0.0000, 0.0000, 0.5000)  6 S 2.44-2.53
S (0.0645, 0.3644, 0.6840)  1 Ge 2.53, 1 Pm 2.81
S (0.2266, 0.2266, 0.3226)  1 Ge 2.44
S (0.3644, 0.0645, 0.6840)  1 Ge 2.53, 1 Pm 2.81
S (0.6356, 0.9355, 0.3160)  1 Ge 2.53, 1 Pm 2.81
S (0.7734, 0.7734, 0.6774)  1 Ge 2.44
S (0.9355, 0.6356, 0.3160)  1 Ge 2.53, 1 Pm 2.81



Entry 3:
The following is a DFT calculation (PBE-GGA) of a geometry-optimized ErPa5P6 structure.

Calculated values
* energy of formation from the pure elements: -132 kJ/mol of atoms
* DOS at the Fermi energy: 11.56 states/eV/f.u.
* space group: C2/m

abc: 6.8693 6.8693 6.8647
angles: 99.61 99.61 120.00
Closest atoms and distances in Å follow each position.
Fractional positions:
Er (0.0000, 0.0000, 0.0000)  6 P 2.79
Pa (0.1657, 0.8343, 0.5000)  6 P 2.80-2.82
Pa (0.3333, 0.6667, 0.0000)  6 P 2.80
Pa (0.5000, 0.5000, 0.5000)  6 P 2.80-2.81
Pa (0.6667, 0.3333, 0.0000)  6 P 2.80
Pa (0.8343, 0.1657, 0.5000)  6 P 2.80-2.82
P (0.0830, 0.4154, 0.2489)  1 Er 2.79, 5 Pa 2.80-2.82
P (0.2495, 0.2495, 0.7511)  1 Er 2.79, 5 Pa 2.80-2.81
P (0.4154, 0.0830, 0.2489)  1 Er 2.79, 5 Pa 2.80-2.82
P (0.5846, 0.9170, 0.7511)  1 Er 2.79, 5 Pa 2.80-2.82
P (0.7505, 0.7505, 0.2489)  1 Er 2.79, 5 Pa 2.80-2.81
P (0.9170, 0.5846, 0.7511)  1 Er 2.79, 5 Pa 2.80-2.82



Entry 4:
The following is a DFT calculation (PBE-GGA) of a geometry-optimized Ba2BrO structure.

Calculated values
* DOS at the Fermi energy: 1.69 states/eV/f.u.
* ΔE_f (raw): -196.3 kJ per mole of atoms
* space group: Pnma
* excess energy over the best structure of this formula in the dataset: 0 meV per atom

abc: 8.5830 4.3473 15.7685
angles: 90.00 90.00 90.00
Closest atoms and distances in Å follow each position.
Fractional positions:
Ba (0.0226, 0.2500, 0.2353)  1 O 2.44
Ba (0.1870, 0.7500, 0.0206)  3 O 2.61-2.64
Ba (0.3130, 0.2500, 0.5206)  3 O 2.61-2.64
Ba (0.4774, 0.7500, 0.7353)  1 O 2.44
Ba (0.5226, 0.2500, 0.2647)  1 O 2.44
Ba (0.6870, 0.7500, 0.4794)  3 O 2.61-2.64
Ba (0.8130, 0.2500, 0.9794)  3 O 2.61-2.64
Ba (0.9774, 0.7500, 0.7647)  1 O 2.44
Br (0.0850, 0.7500, 0.3974)  5 Ba 3.40-3.65
Br (0.4150, 0.2500, 0.8974)  5 Ba 3.40-3.65
Br (0.5850, 0.7500, 0.1026)  5 Ba 3.40-3.65
Br (0.9150, 0.2500, 0.6026)  5 Ba 3.40-3.65
O (0.0524, 0.2500, 0.0815)  4 Ba 2.44-2.64
O (0.4476, 0.7500, 0.5815)  4 Ba 2.44-2.64
O (0.5524, 0.2500, 0.4185)  4 Ba 2.44-2.64
O (0.9476, 0.7500, 0.9185)  4 Ba 2.44-2.64



Entry 5:
The following is a DFT calculation (PBE-GGA) of a geometry-optimized AcTl3Hg6 structure.

Calculated values
* energy of formation from the pure elements: -3 kJ/mol of atoms
* DOS at the Fermi energy: 5.83 states/eV/f.u.
* space group: R3m
* excess energy over the best structure of this formula in the dataset: 72 meV per atom

abc: 8.5210 8.5210 8.5210
angles: 115.53 115.53 115.53
Closest atoms and distances in Å follow each position.
Fractional positions:
Ac (0.0000, 0.0000, 0.0000)  9 Hg 3.36-3.54, 3 Tl 3.44
Tl (0.2986, 0.2986, 0.8998)  3 Hg 3.05-3.14
Tl (0.2986, 0.8998, 0.2986)  3 Hg 3.05-3.14
Tl (0.8998, 0.2986, 0.2986)  3 Hg 3.05-3.14
Hg (0.2757, 0.8502, 0.8502)  2 Tl 3.07-3.14, 2 Hg 3.12-3.22
Hg (0.4239, 0.4239, 0.6589)  1 Tl 3.05, 4 Hg 3.12-3.39, 2 Ac 3.36-3.38
Hg (0.4239, 0.6589, 0.4239)  1 Tl 3.05, 4 Hg 3.12-3.39, 2 Ac 3.36-3.38
Hg (0.6589, 0.4239, 0.4239)  1 Tl 3.05, 4 Hg 3.12-3.39, 2 Ac 3.36-3.38
Hg (0.8502, 0.2757, 0.8502)  2 Tl 3.07-3.14, 2 Hg 3.12-3.22
Hg (0.8502, 0.8502, 0.2757)  2 Tl 3.07-3.14, 2 Hg 3.12-3.22



Entry 6:
The following is a DFT calculation (PBE-GGA) of a geometry-optimized Er4CdCu2 structure.

Calculated values
* energy of formation from the pure elements: -13 kJ/mol of atoms
* DOS at the Fermi energy: 5.89 states/eV/f.u.
* space group: R-3m
* excess energy over the best structure of this formula in the dataset: 0 meV per atom

abc: 8.3910 8.3910 8.3910
angles: 34.40 34.40 34.40
Closest atoms and distances in Å follow each position.
Fractional positions:
Er (0.1156, 0.1156, 0.1156)  4 Cu 2.94-3.09, 3 Cd 3.11
Er (0.3683, 0.3683, 0.3683)  4 Cu 2.89-3.12, 1 Cd 3.12
Er (0.6317, 0.6317, 0.6317)  4 Cu 2.89-3.12, 1 Cd 3.12
Er (0.8844, 0.8844, 0.8844)  4 Cu 2.94-3.09, 3 Cd 3.11
Cd (0.5000, 0.5000, 0.5000)  8 Er 3.11-3.12, 6 Cu 3.43
Cu (0.2461, 0.2461, 0.2461)  8 Er 2.89-3.12
Cu (0.7539, 0.7539, 0.7539)  8 Er 2.89-3.12



| no. | theoretical density (g cm⁻³) | total energy (eV per atom) | M_tot (μB/f.u.) |
| --- | --- | --- | --- |
| 1 | 6.9 | -4.988 | 0.00 |
| 2 | 3.7 | -5.017 | 0.00 |
| 3 | 9.5 | -8.411 | 0.00 |
| 4 | 4.2 | -4.653 | 0.45 |
| 5 | 10.3 | -1.337 | 0.00 |
| 6 | 9.0 | -4.039 | 0.00 |